(1)
Material: Dy2YMg
Method: DFT, PBE
State: relaxed

Unit cell a=7.789 b=7.789 c=7.789 alpha=90.00 beta=90.00 gamma=90.00
Element x y z (fractional)
Dy: 0.250 0.250 0.250
Dy: 0.250 0.250 0.750
Dy: 0.250 0.750 0.250
Dy: 0.250 0.750 0.750
Dy: 0.750 0.250 0.250
Dy: 0.750 0.250 0.750
Dy: 0.750 0.750 0.250
Dy: 0.750 0.750 0.750
Y: 0.000 0.000 0.000
Y: 0.000 0.500 0.500
Y: 0.500 0.000 0.500
Y: 0.500 0.500 0.000
Mg: 0.000 0.000 0.500
Mg: 0.000 0.500 0.000
Mg: 0.500 0.000 0.000
Mg: 0.500 0.500 0.500

## Properties
excess energy over the best structure of this formula in the dataset: 9.4 kJ/mol of atoms
volume: 29.53 Å³ per atom
DFT total energy: -68.0 eV for the cell shown
density of states at the Fermi level: 1.2660 states/eV per atom
DFT formation energy: 64 meV per atom
symmetry: Fm-3m, No. 225
total magnetic moment: 0.001 Bohr magnetons per cell

---

(2)
Material: ZnOs
Method: DFT, PBE
State: relaxed

Unit cell a=4.473 b=8.219 c=4.619 alpha=90.00 beta=90.00 gamma=90.00
Element x y z (fractional)
Zn: 0.000 0.000 0.000
Zn: 0.000 0.500 0.500
Zn: 0.500 0.170 0.857
Zn: 0.500 0.330 0.357
Zn: 0.500 0.670 0.357
Zn: 0.500 0.830 0.857
Os: 0.000 0.167 0.492
Os: 0.000 0.333 0.992
Os: 0.000 0.667 0.992
Os: 0.000 0.833 0.492
Os: 0.500 0.000 0.369
Os: 0.500 0.500 0.869

## Properties
volume: 14.15 Å³ per atom
DFT total energy: -72.1 eV for the cell shown
density of states at the Fermi level: 0.8905 states/eV per atom
DFT formation energy: 239 meV per atom
symmetry: Amm2, No. 38
total magnetic moment: 0.000 Bohr magnetons per cell